# PBE-GGA Pm4In3Sn, relaxed
# **Raw total energy**: -0.327 Ry/atom
# **Energy relative to the elements**: -544 meV per atom
# **Crystal system**: orthorhombic
data_Pm4In3Sn
_chemical_formula_sum 'Pm4 In3 Sn1'
_space_group_name_H-M_alt 'P 1'
_space_group_IT_number 1
_cell_length_a 4.401
_cell_length_b 4.694
_cell_length_c 11.757
_cell_angle_alpha 90.00
_cell_angle_beta 90.00
_cell_angle_gamma 90.00
loop_
_space_group_symop_operation_xyz
'x,y,z'
loop_
_atom_site_label
_atom_site_type_symbol
_atom_site_fract_x
_atom_site_fract_y
_atom_site_fract_z
Pm1 Pm 0.000 0.000 0.000
Pm2 Pm 0.000 0.500 0.499
Pm3 Pm 0.500 0.000 0.274
Pm4 Pm 0.500 0.500 0.775
In1 In 0.000 0.000 0.722
In2 In 0.000 0.500 0.222
In3 In 0.500 0.000 0.554
Sn1 Sn 0.500 0.500 0.053